Record 1
Here is Ba2USe5 after structural relaxation from the Alexandria database. Energies are from PBE.

As for the energy relative to the lowest polymorph listed for this composition: 147 meV per atom. The value obtained for the total energy is -5.445 eV per atom. The value obtained for the formation energy without anion corrections is -1.3754 eV per atom.

The structure belongs to space group I4mm (No. 107); the cell edges are 7.692, 7.692 and 8.988 Å and the angles 90.00°, 90.00° and 90.00°. The inequivalent atoms are Ba at (0.000, 0.500, 0.000), U at (0.000, 0.000, 0.256), Se at (0.000, 0.000, 0.539) and Se at (0.245, 0.245, 0.252).

---

Record 2
Here is KYRe2 after structural relaxation from the Alexandria database. Energies are from PBE.

As for the energy relative to the lowest polymorph listed for this composition: 15 meV per atom. The density of states at the Fermi level comes out at 5.5 states/eV/cell. The value obtained for the total energy is -7.577 eV per atom. The formation energy is 2.1 eV/f.u.

The structure belongs to space group Cm (No. 8); the cell edges are 7.273, 4.197 and 8.850 Å and the angles 90.00°, 105.37° and 90.00°. The inequivalent atoms are K at (0.000, 0.000, 0.000), Y at (0.328, 0.500, 0.466), Re at (0.056, 0.500, 0.658) and Re at (0.239, 0.000, 0.707).

---

Record 3
Here is AlPd5Pt6 after structural relaxation from the Alexandria database. Energies are from PBE.

The density of states at the Fermi level comes out at 35.8 states/eV/cell. The value obtained for the total energy is -5.754 eV per atom. The formation energy is -3.1 eV/f.u.

The structure belongs to space group Immm (No. 71); the cell edges are 3.923, 7.922 and 11.821 Å and the angles 90.00°, 90.00° and 90.00°. The inequivalent atoms are Al at (0.000, 0.000, 0.000), Pd at (0.000, 0.000, 0.336), Pd at (0.000, 0.500, 0.000), Pd at (0.000, 0.500, 0.335), Pt at (0.000, 0.246, 0.165) and Pt at (0.000, 0.258, 0.500).

---

Record 4
Here is BaFe4I12 after structural relaxation from the Alexandria database. Energies are from PBE.

The density of states at the Fermi level comes out at 38.6 states/eV/cell. The value obtained for the total energy is -3.408 eV per atom. The value obtained for the formation energy without anion corrections is -0.2090 eV per atom.

The structure belongs to space group Im-3m (No. 229); the cell edges are 11.119, 11.119 and 11.119 Å and the angles 90.00°, 90.00° and 90.00°. The inequivalent atoms are Ba at (0.000, 0.000, 0.000), Fe at (0.250, 0.250, 0.250) and I at (0.000, 0.245, 0.245).

---

Record 5
Here is Pr3Si3Ni2 after structural relaxation from the Alexandria database. Energies are from PBE.

As for the energy relative to the lowest polymorph listed for this composition: 0 meV per atom. The density of states at the Fermi level comes out at 21.6 states/eV/cell. The value obtained for the total energy is -5.966 eV per atom. The value obtained for the formation energy without anion corrections is -0.6951 eV per atom.

The structure belongs to space group Cmcm (No. 63); the cell edges are 4.101, 10.909 and 15.220 Å and the angles 90.00°, 90.00° and 90.00°. The inequivalent atoms are Pr at (0.000, 0.066, 0.250), Pr at (0.000, 0.354, 0.093), Si at (0.000, 0.079, 0.054), Si at (0.000, 0.227, 0.750) and Ni at (0.000, 0.358, 0.619).

---

Record 6
Here is Hg6Cl2O2F after structural relaxation from the Alexandria database. Energies are from PBE.

The density of states at the Fermi level comes out at 4.2 states/eV/cell. The value obtained for the total energy is -1.964 eV per atom. The value obtained for the formation energy without anion corrections is -0.3921 eV per atom.

The structure belongs to space group C2/m (No. 12); the cell edges are 11.762, 6.327 and 8.161 Å and the angles 90.00°, 109.83° and 90.00°. The inequivalent atoms are Hg at (0.124, 0.217, 0.262), Hg at (0.149, 0.500, 0.670), Cl at (0.247, 0.500, 0.136), O at (0.041, 0.500, 0.339) and F at (0.000, 0.000, 0.000).

---

Record 7
Here is ReAgPt after structural relaxation from the Alexandria database. Energies are from PBE.

As for the energy relative to the lowest polymorph listed for this composition: 256 meV per atom. The density of states at the Fermi level comes out at 3.3 states/eV/cell. The value obtained for the total energy is -6.903 eV per atom. The formation energy is 0.6 eV/f.u.

The structure belongs to space group P3m1 (No. 156); the cell edges are 2.7950, 2.7950 and 7.0504 Å and the angles 90.00°, 90.00° and 120.00°. The inequivalent atoms are Re at (0.0000, 0.0000, 0.0000), Ag at (0.6667, 0.3333, 0.3444) and Pt at (0.3333, 0.6667, 0.6919).

---

Record 8
Here is Cs4RbCu3F12 after structural relaxation from the Alexandria database. Energies are from PBE.

The density of states at the Fermi level comes out at 13.2 states/eV/cell. The value obtained for the total energy is -4.115 eV per atom. The value obtained for the formation energy without anion corrections is -2.1588 eV per atom.

The structure belongs to space group Im-3m (No. 229); the cell edges are 8.910, 8.910 and 8.910 Å and the angles 90.00°, 90.00° and 90.00°. The inequivalent atoms are Cs at (0.250, 0.250, 0.250), Rb at (0.000, 0.000, 0.000), Cu at (0.000, 0.000, 0.500), F at (0.000, 0.000, 0.293) and F at (0.000, 0.250, 0.500).

---

Record 9
Here is CeCdTe2O8 after structural relaxation from the Alexandria database. Energies are from PBE.

The density of states at the Fermi level comes out at 6.6 states/eV/cell. The value obtained for the total energy is -5.739 eV per atom. The value obtained for the formation energy without anion corrections is -1.3392 eV per atom.

The structure belongs to space group P-3m1 (No. 164); the cell edges are 6.2346, 6.2346 and 6.5453 Å and the angles 90.00°, 90.00° and 120.00°. The inequivalent atoms are Ce at (0.0000, 0.0000, 0.0000), Cd at (0.0000, 0.0000, 0.5000), Te at (0.3333, 0.6667, 0.3037), O at (0.1553, 0.3106, 0.2356) and O at (0.3333, 0.6667, 0.5807).

---

Record 10
Here is KSiAgF6 after structural relaxation from the Alexandria database. Energies are from PBE.

The density of states at the Fermi level comes out at 0.0 states/eV/cell. The value obtained for the total energy is -4.971 eV per atom. The value obtained for the formation energy without anion corrections is -2.6826 eV per atom.

The structure belongs to space group P312 (No. 149); the cell edges are 5.8276, 5.8276 and 5.0954 Å and the angles 90.00°, 90.00° and 120.00°. The inequivalent atoms are K at (0.0000, 0.0000, 0.0000), Si at (0.6667, 0.3333, 0.5000), Ag at (0.3333, 0.6667, 0.5000) and F at (0.4246, 0.0923, 0.6949).

---

Record 11
Here is Tl2Sb2S7 after structural relaxation from the Alexandria database. Energies are from PBE.

The value obtained for the total energy is -3.750 eV per atom. The value obtained for the formation energy without anion corrections is 0.0559 eV per atom.

The structure belongs to space group C2/m (No. 12); the cell edges are 7.942, 11.769 and 6.871 Å and the angles 90.00°, 111.52° and 90.00°. The inequivalent atoms are Tl at (0.244, 0.000, 0.317), Sb at (0.000, 0.323, 0.000), S at (0.000, 0.000, 0.500), S at (0.194, 0.500, 0.232) and S at (0.197, 0.302, 0.736).

---

Record 12
Here is Dy2ErHg after structural relaxation from the Alexandria database. Energies are from PBE.

As for the energy relative to the lowest polymorph listed for this composition: 171 meV per atom. The density of states at the Fermi level comes out at 20.2 states/eV/cell. The value obtained for the total energy is -3.569 eV per atom. The formation energy is -0.2 eV/f.u.

The structure belongs to space group Fm-3m (No. 225); the cell edges are 7.611, 7.611 and 7.611 Å and the angles 90.00°, 90.00° and 90.00°. The inequivalent atoms are Dy at (0.250, 0.250, 0.250), Er at (0.000, 0.000, 0.000) and Hg at (0.000, 0.000, 0.500).